# SnMoPO2 (PBE with a Hubbard U, optimized geometry)
data_SnMoPO2
_space_group_name_H-M_alt 'P 1'
_space_group_IT_number 1
_space_group_name_Hall 'P 1'
_cell_length_a 3.9710
_cell_length_b 3.9710
_cell_length_c 5.3189
_cell_angle_alpha 90.00
_cell_angle_beta 90.00
_cell_angle_gamma 90.00
loop_
_atom_site_label
_atom_site_type_symbol
_atom_site_fract_x
_atom_site_fract_y
_atom_site_fract_z
_atom_site_occupancy
Mo1 Mo 0.5000 0.5000 0.5000 1
Sn1 Sn 0.0000 0.0000 0.0000 1
O1 O 0.0000 0.5000 0.0000 1
O2 O 0.5000 0.0000 0.0000 1
P1 P 0.0000 0.0000 0.5000 1
# distance to the lowest polymorph of the same formula = 545 meV per atom
# volume = 16.77 Å³ per atom
# crystal system = tetragonal
# symmetry = No. 123
# total moment = 3.0 μB per formula unit
# total energy = -27.2 eV/cell